[1]
Here is crystalline Nb3PdS at its relaxed geometry from the Alexandria database. Energies are from PBE.

Cell: 4.8672 4.8672 4.8672 Å, 90.00 90.00 90.00°
Last column: nearest neighbours and their distance in Å.
Fractional coordinates of all 5 atoms:
Nb1 0.0000 0.0000 0.5000  2 Pd 2.43
Nb2 0.0000 0.5000 0.0000  2 Pd 2.43
Nb3 0.5000 0.0000 0.0000  2 Pd 2.43
Pd1 0.0000 0.0000 0.0000  6 Nb 2.43
S1 0.5000 0.5000 0.5000  12 Nb 3.44

Summary:
D(E_F) ... 7.46 states/eV/cell
Space group ... Pm-3m, No. 221
E above lowest polymorph ... 8.77 eV per formula unit

[2]
Here is crystalline Sr5NdTe6 at its relaxed geometry from the Alexandria database. Energies are from PBE.

Cell: 8.1285 8.1285 8.1324 Å, 99.59 99.59 119.99°
Last column: nearest neighbours and their distance in Å.
Fractional coordinates of all 12 atoms:
Sr1 0.0000 0.0000 0.0000  6 Te 3.32-3.39
Sr2 0.1660 0.8340 0.5000  6 Te 3.32-3.33
Sr3 0.3311 0.6689 0.0000  6 Te 3.32-3.37
Sr4 0.6689 0.3311 0.0000  6 Te 3.32-3.37
Sr5 0.8340 0.1660 0.5000  6 Te 3.32-3.33
Nd1 0.5000 0.5000 0.5000  6 Te 3.24
Te1 0.0933 0.4186 0.2553  1 Nd 3.24, 5 Sr 3.32-3.37
Te2 0.2573 0.2573 0.7461  1 Nd 3.24, 5 Sr 3.33-3.39
Te3 0.4186 0.0933 0.2553  1 Nd 3.24, 5 Sr 3.32-3.37
Te4 0.5814 0.9067 0.7447  1 Nd 3.24, 5 Sr 3.32-3.37
Te5 0.7427 0.7427 0.2539  1 Nd 3.24, 5 Sr 3.33-3.39
Te6 0.9067 0.5814 0.7447  1 Nd 3.24, 5 Sr 3.32-3.37

Summary:
D(E_F) ... 3.81 states/eV/cell
Space group ... C2/m, No. 12
Calculated total energy ... -4.336 eV per atom

[3]
Here is crystalline Hg2MoCl at its relaxed geometry from the Alexandria database. Energies are from PBE.

Cell: 7.2572 7.2572 7.2572 Å, 95.75 95.75 143.10°
Last column: nearest neighbours and their distance in Å.
Fractional coordinates of all 8 atoms:
Hg1 0.0117 0.6250 0.8867  2 Mo 2.83
Hg2 0.3750 0.2617 0.3867  2 Mo 2.83
Hg3 0.7383 0.1250 0.1133  2 Mo 2.83
Hg4 0.8750 0.9883 0.6133  2 Mo 2.83
Mo1 0.0000 0.0000 0.0000  2 Cl 2.30
Mo2 0.7500 0.2500 0.5000  2 Cl 2.30
Cl1 0.2500 0.7500 0.5000  2 Mo 2.30
Cl2 0.5000 0.5000 0.0000  2 Mo 2.30

Summary:
D(E_F) ... 7.48 states/eV/cell
Space group ... I-42d, No. 122
E above lowest polymorph ... 1.21 eV per formula unit

[4]
Here is crystalline RbSc4O6 at its relaxed geometry from the Alexandria database. Energies are from PBE.

Cell: 5.5725 5.5725 16.9567 Å, 90.00 90.00 146.91°
Last column: nearest neighbours and their distance in Å.
Fractional coordinates of all 22 atoms:
Rb1 0.1453 0.8547 0.7500  6 O 2.73-2.80
Rb2 0.8547 0.1453 0.2500  6 O 2.73-2.80
Sc1 0.1047 0.8953 0.1363  3 O 1.98-2.07
Sc2 0.1047 0.8953 0.3637  3 O 1.98-2.07
Sc3 0.3718 0.6282 0.0415  3 O 2.02-2.21
Sc4 0.3718 0.6282 0.4585  3 O 2.02-2.21
Sc5 0.6282 0.3718 0.5415  3 O 2.02-2.21
Sc6 0.6282 0.3718 0.9585  3 O 2.02-2.21
Sc7 0.8953 0.1047 0.6363  3 O 1.98-2.07
Sc8 0.8953 0.1047 0.8637  3 O 1.98-2.07
O1 0.0000 0.0000 0.0000  4 Sc 2.21
O2 0.0000 0.0000 0.5000  4 Sc 2.21
O3 0.1471 0.8529 0.2500  2 Sc 1.98
O4 0.2719 0.7281 0.5764  5 Sc 2.27-2.30
O5 0.2719 0.7281 0.9236  5 Sc 2.27-2.30
O6 0.4799 0.5201 0.1391  3 Sc 2.02-2.07
O7 0.4799 0.5201 0.3609  3 Sc 2.02-2.07
O8 0.5201 0.4799 0.6391  3 Sc 2.02-2.07
O9 0.5201 0.4799 0.8609  3 Sc 2.02-2.07
O10 0.7281 0.2719 0.0764  5 Sc 2.27-2.30
O11 0.7281 0.2719 0.4236  5 Sc 2.27-2.30
O12 0.8529 0.1471 0.7500  2 Sc 1.98

Summary:
D(E_F) ... 4.32 states/eV/cell
Space group ... Cmcm, No. 63
Calculated total energy ... -8.145 eV per atom

[5]
Here is crystalline RbAlSn at its relaxed geometry from the Alexandria database. Energies are from PBE.

Cell: 6.4189 6.4189 10.1821 Å, 90.00 90.00 120.00°
Last column: nearest neighbours and their distance in Å.
Fractional coordinates of all 6 atoms:
Rb1 0.3333 0.6667 0.2500  3 Al 3.71
Rb2 0.6667 0.3333 0.7500  3 Al 3.71
Al1 0.0000 0.0000 0.2500  2 Sn 2.55
Al2 0.0000 0.0000 0.7500  2 Sn 2.55
Sn1 0.0000 0.0000 0.0000  2 Al 2.55
Sn2 0.0000 0.0000 0.5000  2 Al 2.55

Summary:
D(E_F) ... 2.96 states/eV/cell
Space group ... P6_3/mmc, No. 194
E_form ... 473 meV per atom

[6]
Here is crystalline K2SrTa at its relaxed geometry from the Alexandria database. Energies are from PBE.

Cell: 3.4087 6.8545 6.5225 Å, 90.00 92.07 90.00°
Last column: nearest neighbours and their distance in Å.
Fractional coordinates of all 4 atoms:
K1 0.2451 0.0000 0.2294  4 K 3.37-3.51
K2 0.7549 0.0000 0.7706  4 K 3.37-3.51
Sr1 0.0000 0.5000 0.5000  2 Sr 3.41, 4 Ta 3.62-3.73
Ta1 0.5000 0.5000 0.0000  2 Ta 3.41, 4 Sr 3.62-3.73

Summary:
D(E_F) ... 4.11 states/eV/cell
Space group ... P2/m, No. 10
E above lowest polymorph ... 0.93 eV per formula unit
E_form ... 1181 meV per atom

[7]
Here is crystalline KTl3 at its relaxed geometry from the Alexandria database. Energies are from PBE.

Cell: 4.0270 4.0270 8.3777 Å, 90.00 90.00 90.44°
Last column: nearest neighbours and their distance in Å.
Fractional coordinates of all 4 atoms:
K1 0.0000 0.0000 0.0000  8 Tl 3.74-3.75, 4 K 4.03
Tl1 0.0000 0.0000 0.5000  8 Tl 3.34-3.36
Tl2 0.5000 0.5000 0.2903  5 Tl 3.34-3.51, 2 K 3.74
Tl3 0.5000 0.5000 0.7097  5 Tl 3.34-3.51, 2 K 3.74

Summary:
D(E_F) ... 2.07 states/eV/cell
Space group ... Cmmm, No. 65
E_form ... -75 meV per atom

[8]
Here is crystalline TmVSb2 at its relaxed geometry from the Alexandria database. Energies are from PBE.

Cell: 7.0019 7.0019 7.0019 Å, 34.64 34.64 34.64°
Last column: nearest neighbours and their distance in Å.
Fractional coordinates of all 4 atoms:
Tm1 0.0000 0.0000 0.0000  6 Sb 3.05
V1 0.5000 0.5000 0.5000  6 Sb 2.80
Sb1 0.2388 0.2388 0.2388  3 V 2.80, 3 Tm 3.05
Sb2 0.7612 0.7612 0.7612  3 V 2.80, 3 Tm 3.05

Summary:
D(E_F) ... 4.25 states/eV/cell
Space group ... R-3m, No. 166
Calculated total energy ... -5.869 eV per atom

[9]
Here is crystalline LiAgP2 at its relaxed geometry from the Alexandria database. Energies are from PBE.

Cell: 8.2425 8.2425 8.2425 Å, 21.02 21.02 21.02°
Last column: nearest neighbours and their distance in Å.
Fractional coordinates of all 4 atoms:
Li1 0.0000 0.0000 0.0000  6 P 2.61
Ag1 0.5000 0.5000 0.5000  6 P 2.71, 6 Ag 3.01
P1 0.2529 0.2529 0.2529  3 Li 2.61, 3 Ag 2.71
P2 0.7471 0.7471 0.7471  3 Li 2.61, 3 Ag 2.71

Summary:
D(E_F) ... 2.76 states/eV/cell
Space group ... R-3m, No. 166
E above lowest polymorph ... 1.23 eV per formula unit
E_form ... 169 meV per atom

[10]
Here is crystalline Na2Li2NpO4 at its relaxed geometry from the Alexandria database. Energies are from PBE.

Cell: 5.8972 5.8972 8.0008 Å, 125.71 125.71 33.67°
Last column: nearest neighbours and their distance in Å.
Fractional coordinates of all 9 atoms:
Na1 0.1759 0.1759 0.2824  5 O 2.45-2.52
Na2 0.8241 0.8241 0.7176  5 O 2.45-2.52
Li1 0.3451 0.3451 0.1149  4 O 1.94-2.08
Li2 0.6549 0.6549 0.8851  4 O 1.94-2.08
Np1 0.0000 0.0000 0.5000  6 O 2.17-2.29
O1 0.2169 0.2169 0.8085  3 Li 1.94-2.08, 1 Np 2.17
O2 0.4370 0.4370 0.6233  1 Li 2.04
O3 0.5630 0.5630 0.3767  1 Li 2.04
O4 0.7831 0.7831 0.1915  3 Li 1.94-2.08, 1 Np 2.17

Summary:
D(E_F) ... 6.31 states/eV/cell
Space group ... C2/m, No. 12
Calculated total energy ... -6.490 eV per atom

[11]
Here is crystalline LiMn2Hg2 at its relaxed geometry from the Alexandria database. Energies are from PBE.

Cell: 7.9154 7.9154 7.9154 Å, 156.19 156.19 33.92°
Last column: nearest neighbours and their distance in Å.
Fractional coordinates of all 5 atoms:
Li1 0.0000 0.0000 0.0000  8 Hg 2.76
Mn1 0.2500 0.7500 0.5000  4 Mn 2.31
Mn2 0.7500 0.2500 0.5000  4 Mn 2.31
Hg1 0.3999 0.3999 0.0000  4 Li 2.76, 4 Mn 2.80, 1 Hg 3.03
Hg2 0.6001 0.6001 0.0000  4 Li 2.76, 4 Mn 2.80, 1 Hg 3.03

Summary:
D(E_F) ... 4.50 states/eV/cell
Space group ... I4/mmm, No. 139
E above lowest polymorph ... 0.65 eV per formula unit
E_form ... 358 meV per atom

What is the D(E_F) in the eighth record? 4.25 states/eV/cell

Please write out number 2 again, unchanged.
Here is crystalline Sr5NdTe6 at its relaxed geometry from the Alexandria database. Energies are from PBE.

Cell: 8.1285 8.1285 8.1324 Å, 99.59 99.59 119.99°
Last column: nearest neighbours and their distance in Å.
Fractional coordinates of all 12 atoms:
Sr1 0.0000 0.0000 0.0000  6 Te 3.32-3.39
Sr2 0.1660 0.8340 0.5000  6 Te 3.32-3.33
Sr3 0.3311 0.6689 0.0000  6 Te 3.32-3.37
Sr4 0.6689 0.3311 0.0000  6 Te 3.32-3.37
Sr5 0.8340 0.1660 0.5000  6 Te 3.32-3.33
Nd1 0.5000 0.5000 0.5000  6 Te 3.24
Te1 0.0933 0.4186 0.2553  1 Nd 3.24, 5 Sr 3.32-3.37
Te2 0.2573 0.2573 0.7461  1 Nd 3.24, 5 Sr 3.33-3.39
Te3 0.4186 0.0933 0.2553  1 Nd 3.24, 5 Sr 3.32-3.37
Te4 0.5814 0.9067 0.7447  1 Nd 3.24, 5 Sr 3.32-3.37
Te5 0.7427 0.7427 0.2539  1 Nd 3.24, 5 Sr 3.33-3.39
Te6 0.9067 0.5814 0.7447  1 Nd 3.24, 5 Sr 3.32-3.37

Summary:
D(E_F) ... 3.81 states/eV/cell
Space group ... C2/m, No. 12
Calculated total energy ... -4.336 eV per atom

D(E_F) of number 10 (Na2Li2NpO4)? 6.31 states/eV/cell

What did the sixth record say?
Here is crystalline K2SrTa at its relaxed geometry from the Alexandria database. Energies are from PBE.

Cell: 3.4087 6.8545 6.5225 Å, 90.00 92.07 90.00°
Last column: nearest neighbours and their distance in Å.
Fractional coordinates of all 4 atoms:
K1 0.2451 0.0000 0.2294  4 K 3.37-3.51
K2 0.7549 0.0000 0.7706  4 K 3.37-3.51
Sr1 0.0000 0.5000 0.5000  2 Sr 3.41, 4 Ta 3.62-3.73
Ta1 0.5000 0.5000 0.0000  2 Ta 3.41, 4 Sr 3.62-3.73

Summary:
D(E_F) ... 4.11 states/eV/cell
Space group ... P2/m, No. 10
E above lowest polymorph ... 0.93 eV per formula unit
E_form ... 1181 meV per atom